(1)
# SmThI4

A relaxed structure of SmThI4 (PBE, Alexandria via LeMat-Bulk).

abc: 6.9705 4.0141 8.8924
angles: 90.00 104.82 90.00
Positions (direct):
Sm1 0.0000 0.0000 0.0000
Th1 0.5000 0.5000 0.0000
I1 0.2473 0.5000 0.2524
I2 0.2482 0.0000 0.7421
I3 0.7518 0.0000 0.2579
I4 0.7527 0.5000 0.7476

Properties
formation energy (no corrections)	-108.5	kJ per mole of atoms
space group	No. 10

***

(2)
# BaMn3

A relaxed structure of BaMn3 (PBE, Alexandria via LeMat-Bulk).

abc: 6.1859 8.2467 3.3137
angles: 90.00 90.00 90.00
Positions (direct):
Ba1 0.0000 0.0000 0.0000
Ba2 0.5000 0.5000 0.0000
Mn1 0.0000 0.5000 0.0000
Mn2 0.2500 0.2500 0.5000
Mn3 0.2500 0.7500 0.5000
Mn4 0.5000 0.0000 0.0000
Mn5 0.7500 0.2500 0.5000
Mn6 0.7500 0.7500 0.5000

Properties
energy of formation	1.0268	eV/atom
space group	No. 65

***

(3)
# InNiBr

A relaxed structure of InNiBr (PBE, Alexandria via LeMat-Bulk).

abc: 3.3512 3.3512 11.4796
angles: 90.00 90.00 90.00
Positions (direct):
In1 0.0000 0.0000 0.0000
In2 0.5000 0.5000 0.5000
Ni1 0.0000 0.0000 0.6086
Ni2 0.5000 0.5000 0.1086
Br1 0.0000 0.0000 0.2560
Br2 0.5000 0.5000 0.7560

Properties
formation energy (no corrections)	11.1	kJ per mole of atoms
space group	No. 107

***

(4)
# CaCoHg2Ir

A relaxed structure of CaCoHg2Ir (PBE, Alexandria via LeMat-Bulk).

abc: 5.2129 5.2129 4.5591
angles: 90.00 90.00 90.00
Positions (direct):
Ca1 0.0000 0.0000 0.0000
Co1 0.5000 0.5000 0.0000
Hg1 0.0000 0.5000 0.5000
Hg2 0.5000 0.0000 0.5000
Ir1 0.5000 0.5000 0.5000

Properties
energy of formation	0.3832	eV/atom
space group	No. 123

***

(5)
# KCd2BiF8

A relaxed structure of KCd2BiF8 (PBE, Alexandria via LeMat-Bulk).

abc: 4.0413 7.9356 5.7394
angles: 90.00 90.26 90.00
Positions (direct):
K1 0.0000 0.0000 0.0000
Cd1 0.5000 0.2345 0.5000
Cd2 0.5000 0.7655 0.5000
Bi1 0.0000 0.5000 0.0000
F1 0.0017 0.2770 0.2662
F2 0.0017 0.7230 0.2662
F3 0.4978 0.0000 0.7255
F4 0.4986 0.5000 0.7619
F5 0.5014 0.5000 0.2381
F6 0.5022 0.0000 0.2745
F7 0.9983 0.2770 0.7338
F8 0.9983 0.7230 0.7338

Properties
formation energy (no corrections)	-228.7	kJ per mole of atoms
space group	No. 10

***

(6)
# MnRe2Rh

A relaxed structure of MnRe2Rh (PBE, Alexandria via LeMat-Bulk).

abc: 5.3688 7.7244 2.6837
angles: 90.00 90.00 90.00
Positions (direct):
Mn1 0.0000 0.0000 0.0000
Mn2 0.5000 0.5000 0.0000
Re1 0.2500 0.2500 0.5000
Re2 0.2500 0.7500 0.5000
Re3 0.7500 0.2500 0.5000
Re4 0.7500 0.7500 0.5000
Rh1 0.0000 0.5000 0.0000
Rh2 0.5000 0.0000 0.0000

Properties
energy of formation	0.0053	eV/atom
space group	No. 65

***

(7)
# NpTeF3

A relaxed structure of NpTeF3 (PBE, Alexandria via LeMat-Bulk).

abc: 5.6989 6.3018 6.5398
angles: 80.63 88.75 88.95
Positions (direct):
Np1 0.0000 0.0000 0.0000
Np2 0.4709 0.5467 0.0543
Te1 0.5548 0.8882 0.6428
Te2 0.9620 0.0954 0.5167
F1 0.1323 0.6858 0.8867
F2 0.2503 0.2708 0.9606
F3 0.3045 0.8411 0.1799
F4 0.3766 0.3949 0.3474
F5 0.7374 0.2776 0.0071
F6 0.7752 0.7258 0.1617

Properties
formation energy (no corrections)	-250.8	kJ per mole of atoms
space group	No. 1

***

(8)
# KNiHg

A relaxed structure of KNiHg (PBE, Alexandria via LeMat-Bulk).

abc: 6.8500 6.8500 6.8500
angles: 90.00 90.00 90.00
Positions (direct):
K1 0.0000 0.0000 0.0000
K2 0.0000 0.5000 0.5000
K3 0.5000 0.0000 0.5000
K4 0.5000 0.5000 0.0000
Ni1 0.2500 0.2500 0.7500
Ni2 0.2500 0.7500 0.2500
Ni3 0.7500 0.2500 0.2500
Ni4 0.7500 0.7500 0.7500
Hg1 0.0000 0.0000 0.5000
Hg2 0.0000 0.5000 0.0000
Hg3 0.5000 0.0000 0.0000
Hg4 0.5000 0.5000 0.5000

Properties
energy of formation	0.4764	eV/atom
space group	No. 216

***

(9)
# TmZnGaNi

A relaxed structure of TmZnGaNi (PBE, Alexandria via LeMat-Bulk).

abc: 6.3919 6.3919 6.3919
angles: 90.00 90.00 90.00
Positions (direct):
Tm1 0.0000 0.0000 0.0000
Tm2 0.0000 0.5000 0.5000
Tm3 0.5000 0.0000 0.5000
Tm4 0.5000 0.5000 0.0000
Zn1 0.2500 0.2500 0.7500
Zn2 0.2500 0.7500 0.2500
Zn3 0.7500 0.2500 0.2500
Zn4 0.7500 0.7500 0.7500
Ga1 0.0000 0.0000 0.5000
Ga2 0.0000 0.5000 0.0000
Ga3 0.5000 0.0000 0.0000
Ga4 0.5000 0.5000 0.5000
Ni1 0.2500 0.2500 0.2500
Ni2 0.2500 0.7500 0.7500
Ni3 0.7500 0.2500 0.7500
Ni4 0.7500 0.7500 0.2500

Properties
energy of formation	-0.3834	eV/atom
space group	No. 216

***

(10)
# LaCeYTc

A relaxed structure of LaCeYTc (PBE, Alexandria via LeMat-Bulk).

abc: 4.4251 4.4251 20.7897
angles: 90.00 90.00 120.00
Positions (direct):
La1 0.0000 0.0000 0.0000
La2 0.3333 0.6667 0.6667
La3 0.6667 0.3333 0.3333
Ce1 0.0000 0.0000 0.4423
Ce2 0.3333 0.6667 0.1090
Ce3 0.6667 0.3333 0.7756
Y1 0.0000 0.0000 0.2117
Y2 0.3333 0.6667 0.8783
Y3 0.6667 0.3333 0.5450
Tc1 0.0000 0.0000 0.7914
Tc2 0.3333 0.6667 0.4581
Tc3 0.6667 0.3333 0.1247

Properties
energy of formation	0.0666	eV/atom
space group	No. 160

***

(11)
# Pm4NdPb5

A relaxed structure of Pm4NdPb5 (PBE, Alexandria via LeMat-Bulk).

abc: 3.5914 3.5914 23.0559
angles: 90.00 90.00 90.00
Positions (direct):
Pm1 0.0000 0.0000 0.0997
Pm2 0.0000 0.0000 0.2993
Pm3 0.0000 0.0000 0.7007
Pm4 0.0000 0.0000 0.9003
Nd1 0.0000 0.0000 0.5000
Pb1 0.5000 0.5000 0.0000
Pb2 0.5000 0.5000 0.1995
Pb3 0.5000 0.5000 0.3990
Pb4 0.5000 0.5000 0.6010
Pb5 0.5000 0.5000 0.8005

Properties
energy of formation	-0.5089	eV/atom
space group	No. 123

***

(12)
# Mo2RhW

A relaxed structure of Mo2RhW (PBE, Alexandria via LeMat-Bulk).

abc: 6.3104 6.3104 6.3104
angles: 90.00 90.00 90.00
Positions (direct):
Mo1 0.2500 0.2500 0.2500
Mo2 0.2500 0.2500 0.7500
Mo3 0.2500 0.7500 0.2500
Mo4 0.2500 0.7500 0.7500
Mo5 0.7500 0.2500 0.2500
Mo6 0.7500 0.2500 0.7500
Mo7 0.7500 0.7500 0.2500
Mo8 0.7500 0.7500 0.7500
Rh1 0.0000 0.0000 0.0000
Rh2 0.0000 0.5000 0.5000
Rh3 0.5000 0.0000 0.5000
Rh4 0.5000 0.5000 0.0000
W1 0.0000 0.0000 0.5000
W2 0.0000 0.5000 0.0000
W3 0.5000 0.0000 0.0000
W4 0.5000 0.5000 0.5000

Properties
energy of formation	0.2039	eV/atom
space group	No. 225

***

(13)
# GaGeRh3

A relaxed structure of GaGeRh3 (PBE, Alexandria via LeMat-Bulk).

abc: 4.5191 4.5191 4.5191
angles: 90.00 90.00 90.00
Positions (direct):
Ga1 0.0000 0.0000 0.0000
Ge1 0.5000 0.5000 0.5000
Rh1 0.0000 0.0000 0.5000
Rh2 0.0000 0.5000 0.0000
Rh3 0.5000 0.0000 0.0000

Properties
energy of formation	0.6329	eV/atom
space group	No. 221

***

(14)
# CsCaCdSe2

A relaxed structure of CsCaCdSe2 (PBE, Alexandria via LeMat-Bulk).

abc: 8.3096 5.3153 8.5230
angles: 90.00 98.12 90.00
Positions (direct):
Cs1 0.0000 0.1402 0.2500
Cs2 0.0000 0.8598 0.7500
Ca1 0.5000 0.4952 0.7500
Ca2 0.5000 0.5048 0.2500
Cd1 0.5000 0.0000 0.0000
Cd2 0.5000 0.0000 0.5000
Se1 0.2743 0.3705 0.9694
Se2 0.2743 0.6295 0.4694
Se3 0.7257 0.3705 0.5306
Se4 0.7257 0.6295 0.0306

Properties
formation energy (no corrections)	-96.3	kJ per mole of atoms
space group	No. 13

***

(15)
# Nd2HoErS5

A relaxed structure of Nd2HoErS5 (PBE, Alexandria via LeMat-Bulk).

abc: 4.8520 4.8520 10.2248
angles: 90.00 90.00 90.00
Positions (direct):
Nd1 0.0000 0.0000 0.2064
Nd2 0.0000 0.0000 0.7936
Ho1 0.5000 0.5000 0.5000
Er1 0.5000 0.5000 0.0000
S1 0.0000 0.0000 0.5000
S2 0.0000 0.5000 0.0000
S3 0.5000 0.0000 0.0000
S4 0.5000 0.5000 0.2553
S5 0.5000 0.5000 0.7447

Properties
formation energy (no corrections)	-141.6	kJ per mole of atoms
space group	No. 123

***

(16)
# SnH2F8

A relaxed structure of SnH2F8 (PBE, Alexandria via LeMat-Bulk).

abc: 5.1590 5.1590 5.4559
angles: 101.28 101.28 70.01
Positions (direct):
Sn1 0.0000 0.0000 0.0000
H1 0.3080 0.3080 0.5310
H2 0.6920 0.6920 0.4690
F1 0.1080 0.6183 0.1221
F2 0.1378 0.1378 0.3437
F3 0.3817 0.8920 0.8779
F4 0.3974 0.3974 0.6803
F5 0.6026 0.6026 0.3197
F6 0.6183 0.1080 0.1221
F7 0.8622 0.8622 0.6563
F8 0.8920 0.3817 0.8779

Properties
space group	No. 12

***

(17)
# Li8Hg3Pb2

A relaxed structure of Li8Hg3Pb2 (PBE, Alexandria via LeMat-Bulk).

abc: 7.5157 7.5157 4.9090
angles: 103.01 103.01 79.10
Positions (direct):
Li1 0.0667 0.0667 0.2718
Li2 0.1117 0.5942 0.8848
Li3 0.3468 0.3468 0.4192
Li4 0.4058 0.8883 0.1152
Li5 0.5942 0.1117 0.8848
Li6 0.6532 0.6532 0.5808
Li7 0.8883 0.4058 0.1152
Li8 0.9333 0.9333 0.7282
Hg1 0.2579 0.7421 0.5000
Hg2 0.5000 0.5000 0.0000
Hg3 0.7421 0.2579 0.5000
Pb1 0.1960 0.1960 0.8328
Pb2 0.8040 0.8040 0.1672

Properties
energy of formation	-0.2768	eV/atom
space group	No. 12

***

(18)
# TbPr2Br

A relaxed structure of TbPr2Br (PBE, Alexandria via LeMat-Bulk).

abc: 3.7351 3.7351 32.0609
angles: 90.00 90.00 120.00
Positions (direct):
Tb1 0.0000 0.0000 0.0000
Tb2 0.3333 0.6667 0.6667
Tb3 0.6667 0.3333 0.3333
Pr1 0.0000 0.0000 0.2426
Pr2 0.0000 0.0000 0.7574
Pr3 0.3333 0.6667 0.4240
Pr4 0.3333 0.6667 0.9093
Pr5 0.6667 0.3333 0.0907
Pr6 0.6667 0.3333 0.5760
Br1 0.0000 0.0000 0.5000
Br2 0.3333 0.6667 0.1667
Br3 0.6667 0.3333 0.8333

Properties
formation energy (no corrections)	-53.4	kJ per mole of atoms
space group	No. 166

***

(19)
# Pm4SnS3

A relaxed structure of Pm4SnS3 (PBE, Alexandria via LeMat-Bulk).

abc: 5.9019 5.9019 11.7797
angles: 90.00 90.00 90.00
Positions (direct):
Pm1 0.0000 0.0000 0.2404
Pm2 0.0000 0.0000 0.7596
Pm3 0.0000 0.5000 0.0000
Pm4 0.0000 0.5000 0.5000
Pm5 0.5000 0.0000 0.0000
Pm6 0.5000 0.0000 0.5000
Pm7 0.5000 0.5000 0.2596
Pm8 0.5000 0.5000 0.7404
Sn1 0.0000 0.0000 0.5000
Sn2 0.5000 0.5000 0.0000
S1 0.0000 0.0000 0.0000
S2 0.0000 0.5000 0.2500
S3 0.0000 0.5000 0.7500
S4 0.5000 0.0000 0.2500
S5 0.5000 0.0000 0.7500
S6 0.5000 0.5000 0.5000

Properties
formation energy (no corrections)	-161.1	kJ per mole of atoms
space group	No. 139

***

(20)
# Tm4GaSbTe2

A relaxed structure of Tm4GaSbTe2 (PBE, Alexandria via LeMat-Bulk).

abc: 7.4766 4.1996 7.4997
angles: 90.00 108.70 90.00
Positions (direct):
Tm1 0.2328 0.0000 0.2276
Tm2 0.2417 0.5000 0.7711
Tm3 0.7583 0.5000 0.2289
Tm4 0.7672 0.0000 0.7724
Ga1 0.0000 0.5000 0.0000
Sb1 0.5000 0.0000 0.0000
Te1 0.0000 0.0000 0.5000
Te2 0.5000 0.5000 0.5000

Properties
formation energy (no corrections)	-100.2	kJ per mole of atoms
space group	No. 10

***

(21)
# InRe2PRh

A relaxed structure of InRe2PRh (PBE, Alexandria via LeMat-Bulk).

abc: 4.4481 4.4481 4.3600
angles: 90.00 90.00 90.00
Positions (direct):
In1 0.0000 0.0000 0.0000
Re1 0.0000 0.5000 0.5000
Re2 0.5000 0.0000 0.5000
P1 0.5000 0.5000 0.5000
Rh1 0.5000 0.5000 0.0000

Properties
energy of formation	0.5032	eV/atom
space group	No. 123

***

(22)
# Sr2CdOs

A relaxed structure of Sr2CdOs (PBE, Alexandria via LeMat-Bulk).

abc: 4.5371 4.6473 6.1606
angles: 90.00 111.52 90.00
Positions (direct):
Sr1 0.0000 0.0000 0.0000
Sr2 0.2822 0.5000 0.5653
Cd1 0.5798 0.5000 0.1599
Os1 0.7012 0.0000 0.4036

Properties
energy of formation	0.3354	eV/atom
space group	No. 6

***

(23)
# Dy3Ho13

A relaxed structure of Dy3Ho13 (PBE, Alexandria via LeMat-Bulk).

abc: 9.9445 7.0385 7.0385
angles: 90.00 90.00 90.00
Positions (direct):
Dy1 0.0000 0.0000 0.0000
Dy2 0.2501 0.2502 0.2502
Dy3 0.7499 0.2502 0.2502
Ho1 0.0000 0.9998 0.5004
Ho2 0.0000 0.5004 0.9998
Ho3 0.0000 0.5002 0.5002
Ho4 0.2502 0.2502 0.7500
Ho5 0.2502 0.7500 0.2502
Ho6 0.2502 0.7500 0.7500
Ho7 0.5000 0.9999 0.9999
Ho8 0.5000 0.0000 0.5002
Ho9 0.5000 0.5002 0.0000
Ho10 0.5000 0.5003 0.5003
Ho11 0.7498 0.2502 0.7500
Ho12 0.7498 0.7500 0.2502
Ho13 0.7498 0.7500 0.7500

Properties
energy of formation	0.0165	eV/atom
space group	No. 38

***

(24)
# TcSb2Pt

A relaxed structure of TcSb2Pt (PBE, Alexandria via LeMat-Bulk).

abc: 6.7400 6.7400 6.7400
angles: 90.00 90.00 90.00
Positions (direct):
Tc1 0.0000 0.0000 0.0000
Tc2 0.0000 0.5000 0.5000
Tc3 0.5000 0.0000 0.5000
Tc4 0.5000 0.5000 0.0000
Sb1 0.2500 0.2500 0.2500
Sb2 0.2500 0.2500 0.7500
Sb3 0.2500 0.7500 0.2500
Sb4 0.2500 0.7500 0.7500
Sb5 0.7500 0.2500 0.2500
Sb6 0.7500 0.2500 0.7500
Sb7 0.7500 0.7500 0.2500
Sb8 0.7500 0.7500 0.7500
Pt1 0.0000 0.0000 0.5000
Pt2 0.0000 0.5000 0.0000
Pt3 0.5000 0.0000 0.0000
Pt4 0.5000 0.5000 0.5000

Properties
formation energy (no corrections)	22.1	kJ per mole of atoms
space group	No. 225

***

(25)
# TcIr3

A relaxed structure of TcIr3 (PBE, Alexandria via LeMat-Bulk).

abc: 5.4719 13.3654 4.7542
angles: 90.00 90.00 90.00
Positions (direct):
Tc1 0.2500 0.0848 0.1691
Tc2 0.2500 0.4152 0.1691
Tc3 0.2500 0.7500 0.4994
Tc4 0.7500 0.2500 0.5006
Tc5 0.7500 0.5848 0.8309
Tc6 0.7500 0.9152 0.8309
Ir1 0.9996 0.0828 0.6667
Ir2 0.9996 0.4172 0.6667
Ir3 0.0004 0.5828 0.3333
Ir4 0.0004 0.9172 0.3333
Ir5 0.0013 0.7500 0.0022
Ir6 0.2500 0.2500 0.4947
Ir7 0.2500 0.5853 0.8330
Ir8 0.2500 0.9147 0.8330
Ir9 0.4987 0.7500 0.0022
Ir10 0.5004 0.0828 0.6667
Ir11 0.5004 0.4172 0.6667
Ir12 0.4996 0.5828 0.3333
Ir13 0.4996 0.9172 0.3333
Ir14 0.5013 0.2500 0.9978
Ir15 0.7500 0.0853 0.1670
Ir16 0.7500 0.4147 0.1670
Ir17 0.7500 0.7500 0.5053
Ir18 0.9987 0.2500 0.9978

Properties
energy of formation	-0.1231	eV/atom
space group	No. 59

***

| no. | DFT total energy (eV/atom) | ρ (g/cm3) |
| --- | --- | --- |
| 1 | -4.1810 | 6.14 |
| 2 | -6.3310 | 5.94 |
| 3 | -3.2825 | 6.53 |
| 4 | -3.3312 | 9.28 |
| 5 | -4.1853 | 5.64 |
| 6 | -10.3490 | 15.82 |
| 7 | -6.9386 | 6.04 |
| 8 | -1.9172 | 6.17 |
| 9 | -4.0219 | 9.23 |
| 10 | -6.8562 | 6.58 |
| 11 | -4.7401 | 9.83 |
| 12 | -10.2878 | 12.65 |
| 13 | -5.3068 | 8.12 |
| 14 | -3.1456 | 3.95 |
| 15 | -5.8358 | 5.39 |
| 16 | -3.8474 | 3.42 |
| 17 | -2.0947 | 6.83 |
| 18 | -4.5189 | 6.70 |
| 19 | -6.0936 | 6.43 |
| 20 | -4.9535 | 8.36 |
| 21 | -7.5759 | 11.96 |
| 22 | -3.5417 | 6.57 |
| 23 | -4.5659 | 8.87 |
| 24 | -5.9342 | 11.64 |
| 25 | -9.3603 | 19.33 |